(1)
Material: Nd4TlSb
Method: DFT, PBE
State: optimized geometry

a b c (Å): 5.8737 5.8748 11.3798
angles (deg): 104.96 104.96 90.00
Last column: nearest neighbours and their distance in Å.
Sites, in units of the cell vectors:
Nd 0.6764 0.1765 0.8529  1 Nd 3.12, 4 Sb 3.32-3.33
Nd 0.8236 0.3235 0.1471  1 Nd 3.12, 4 Sb 3.32-3.33
Nd 0.3236 0.8235 0.1471  1 Nd 3.12, 4 Sb 3.32-3.33
Nd 0.1764 0.6765 0.8529  1 Nd 3.12, 4 Sb 3.32-3.33
Nd 0.0811 0.0809 0.6622  4 Tl 3.40, 5 Nd 3.44-3.57, 1 Sb 3.58
Nd 0.4189 0.4191 0.3378  4 Tl 3.40, 5 Nd 3.44-3.57, 1 Sb 3.58
Nd 0.9189 0.9191 0.3378  4 Tl 3.40, 5 Nd 3.44-3.57, 1 Sb 3.58
Nd 0.5811 0.5809 0.6622  4 Tl 3.40, 5 Nd 3.44-3.57, 1 Sb 3.58
Tl 0.5000 0.0000 0.5000  10 Nd 3.40-3.74
Tl 0.0000 0.5000 0.5000  10 Nd 3.40-3.74
Sb 0.7500 0.7500 0.0000  10 Nd 3.32-3.58
Sb 0.2500 0.2500 0.0000  10 Nd 3.32-3.58

- Uncorrected formation energy: -445 meV per atom
- Total energy: -4.7051 eV per atom

=====

(2)
Material: LiRu2Pb2
Method: DFT, PBE
State: optimized geometry

a b c (Å): 7.6508 7.6508 3.2872
angles (deg): 90.00 90.00 90.00
Last column: nearest neighbours and their distance in Å.
Sites, in units of the cell vectors:
Pb 0.1630 0.6630 0.5000  6 Ru 2.73-2.82
Pb 0.6630 0.8370 0.5000  6 Ru 2.73-2.82
Pb 0.8370 0.3370 0.5000  6 Ru 2.73-2.82
Pb 0.3370 0.1630 0.5000  6 Ru 2.73-2.82
Ru 0.3645 0.8645 0.0000  6 Pb 2.73-2.82, 1 Ru 2.93, 2 Li 2.97
Ru 0.8645 0.6355 0.0000  6 Pb 2.73-2.82, 1 Ru 2.93, 2 Li 2.97
Ru 0.6355 0.1355 0.0000  6 Pb 2.73-2.82, 1 Ru 2.93, 2 Li 2.97
Ru 0.1355 0.3645 0.0000  6 Pb 2.73-2.82, 1 Ru 2.93, 2 Li 2.97
Li 0.0000 0.0000 0.0000  4 Ru 2.97, 2 Li 3.29, 8 Pb 3.30
Li 0.5000 0.5000 0.0000  4 Ru 2.97, 2 Li 3.29, 8 Pb 3.30

- Formation enthalpy at 0 K: 25.24 kJ per mole of atoms
- Total energy: -5.3148 eV per atom

=====

(3)
Material: Re2NO
Method: DFT, PBE
State: optimized geometry

a b c (Å): 4.8946 4.8946 5.4112
angles (deg): 63.11 63.11 90.00
Last column: nearest neighbours and their distance in Å.
Sites, in units of the cell vectors:
Re 0.6087 0.1250 0.2500  2 N 1.97, 2 O 2.07
Re 0.1413 0.6250 0.2500  2 N 1.97, 2 O 2.07
Re 0.3750 0.3913 0.7500  2 N 1.97, 2 O 2.07
Re 0.8750 0.8587 0.7500  2 N 1.97, 2 O 2.07
O 0.0000 0.0000 0.0000  4 Re 2.07
O 0.7500 0.2500 0.5000  4 Re 2.07
N 0.5000 0.5000 0.0000  4 Re 1.97
N 0.2500 0.7500 0.5000  4 Re 1.97

- Uncorrected formation energy: 371 meV per atom
- Total energy: -9.1743 eV per atom

=====

(4)
Material: Ho8SbC4
Method: DFT, PBE
State: optimized geometry

a b c (Å): 7.6228 7.6228 7.6228
angles (deg): 60.00 60.00 60.00
Last column: nearest neighbours and their distance in Å.
Sites, in units of the cell vectors:
Ho 0.5798 0.1401 0.1401  3 C 2.50
Ho 0.1401 0.5798 0.1401  3 C 2.50
Ho 0.1401 0.1401 0.5798  3 C 2.50
Ho 0.1401 0.1401 0.1401  3 C 2.50
Ho 0.1952 0.6016 0.6016  3 C 2.52, 1 Sb 2.77
Ho 0.6016 0.1952 0.6016  3 C 2.52, 1 Sb 2.77
Ho 0.6016 0.6016 0.1952  3 C 2.52, 1 Sb 2.77
Ho 0.6016 0.6016 0.6016  3 C 2.52, 1 Sb 2.77
Sb 0.7500 0.7500 0.7500  4 Ho 2.77
C 0.8862 0.3713 0.3713  6 Ho 2.50-2.52
C 0.3713 0.8862 0.3713  6 Ho 2.50-2.52
C 0.3713 0.3713 0.8862  6 Ho 2.50-2.52
C 0.3713 0.3713 0.3713  6 Ho 2.50-2.52

- Uncorrected formation energy: -243 meV per atom
- Total energy: -6.2154 eV per atom